[1]
# Na2Zn2SiAu5 (PBE, relaxed)
# E_tot ... -29.05 eV per formula unit
# Fermi-level density of states ... 0.2760 states/eV per atom
# Total magnetic moment ... 0.00 μB/cell
# V ... 19.0 A^3/atom
# Energy relative to the elements, uncorrected ... -0.2052 eV/atom
data_Na2Zn2SiAu5
_chemical_formula_sum 'Na4 Zn4 Si2 Au10'
_cell_length_a 10.587
_cell_length_b 10.587
_cell_length_c 3.391
_cell_angle_alpha 90.00
_cell_angle_beta 90.00
_cell_angle_gamma 90.00
_symmetry_space_group_name_H-M 'P 4/m b m'
_symmetry_Int_Tables_number 127
_symmetry_space_group_name_Hall '-P 4 2ab'
loop_
_atom_site_label
_atom_site_type_symbol
_atom_site_fract_x
_atom_site_fract_y
_atom_site_fract_z
_atom_site_occupancy
Na1 Na 0.172 0.328 0.000 1
Zn1 Zn 0.132 0.632 0.000 1
Si1 Si 0.000 0.000 0.000 1
Au1 Au 0.000 0.500 0.500 1
Au2 Au 0.064 0.812 0.500 1

[2]
# LaSnH2 (PBE, relaxed)
# E_tot ... -16.79 eV per formula unit
# Fermi-level density of states ... 0.3208 states/eV per atom
# Total magnetic moment ... 0.00 μB/cell
# V ... 17.9 A^3/atom
data_LaSnH2
_chemical_formula_sum 'La1 Sn1 H2'
_cell_length_a 3.879
_cell_length_b 4.572
_cell_length_c 4.476
_cell_angle_alpha 90.00
_cell_angle_beta 115.56
_cell_angle_gamma 90.00
_symmetry_space_group_name_H-M 'P 1 m 1'
_symmetry_Int_Tables_number 6
loop_
_symmetry_equiv_pos_as_xyz
'x,y,z'
'x,-y,z'
loop_
_atom_site_label
_atom_site_type_symbol
_atom_site_fract_x
_atom_site_fract_y
_atom_site_fract_z
_atom_site_occupancy
La1 La 0.000 0.000 0.000 1
Sn1 Sn 0.690 0.500 0.383 1
H1 H 0.312 0.095 0.622 1

[3]
# CaMnCd2 (PBE, relaxed)
# E_tot ... -12.41 eV per formula unit
# Fermi-level density of states ... 0.5338 states/eV per atom
# Total magnetic moment ... 8.28 μB/cell
# Formation energy ... 148 meV per atom
# V ... 23.6 A^3/atom
data_CaMnCd2
_chemical_formula_sum 'Ca2 Mn2 Cd4'
_cell_length_a 9.929
_cell_length_b 3.438
_cell_length_c 5.639
_cell_angle_alpha 90.00
_cell_angle_beta 101.07
_cell_angle_gamma 90.00
_symmetry_space_group_name_H-M 'C 1 m 1'
_symmetry_Int_Tables_number 8
loop_
_symmetry_equiv_pos_as_xyz
'x,y,z'
'x,-y,z'
'x+1/2,y+1/2,z'
'x+1/2,-y+1/2,z'
loop_
_atom_site_label
_atom_site_type_symbol
_atom_site_fract_x
_atom_site_fract_y
_atom_site_fract_z
_atom_site_occupancy
Ca1 Ca 0.000 0.000 0.000 1
Mn1 Mn 0.260 0.500 0.299 1
Cd1 Cd 0.243 0.000 0.722 1
Cd2 Cd 0.497 0.000 0.481 1

[4]
# DyYNp2Se4 (PBE, relaxed)
# E_tot ... -62.31 eV per formula unit
# Fermi-level density of states ... 2.2970 states/eV per atom
# Total magnetic moment ... 9.10 μB/cell
# V ... 24.2 A^3/atom
# Energy relative to the elements, uncorrected ... -1.4280 eV/atom
data_DyYNp2Se4
_chemical_formula_sum 'Dy1 Y1 Np2 Se4'
_cell_length_a 7.080
_cell_length_b 4.084
_cell_length_c 7.097
_cell_angle_alpha 90.00
_cell_angle_beta 109.36
_cell_angle_gamma 90.00
_symmetry_space_group_name_H-M 'P 1 2/m 1'
_symmetry_Int_Tables_number 10
loop_
_symmetry_equiv_pos_as_xyz
'x,y,z'
'-x,-y,-z'
'-x,y,-z'
'x,-y,z'
loop_
_atom_site_label
_atom_site_type_symbol
_atom_site_fract_x
_atom_site_fract_y
_atom_site_fract_z
_atom_site_occupancy
Dy1 Dy 0.000 0.000 0.000 1
Y1 Y 0.500 0.500 0.000 1
Np1 Np 0.000 0.500 0.500 1
Np2 Np 0.500 0.000 0.500 1
Se1 Se 0.249 0.500 0.247 1
Se2 Se 0.250 0.000 0.752 1

[5]
# Sm4Y3Ga4 (PBE, relaxed)
# E_tot ... -55.05 eV per formula unit
# Fermi-level density of states ... 0.7928 states/eV per atom
# Total magnetic moment ... 0.00 μB/cell
# Formation energy ... -425 meV per atom
# V ... 26.8 A^3/atom
data_Sm4Y3Ga4
_chemical_formula_sum 'Sm8 Y6 Ga8'
_cell_length_a 3.570
_cell_length_b 9.068
_cell_length_c 18.227
_cell_angle_alpha 90.00
_cell_angle_beta 90.00
_cell_angle_gamma 90.00
_symmetry_space_group_name_H-M 'I m m m'
_symmetry_Int_Tables_number 71
_symmetry_space_group_name_Hall '-I 2 2'
loop_
_atom_site_label
_atom_site_type_symbol
_atom_site_fract_x
_atom_site_fract_y
_atom_site_fract_z
_atom_site_occupancy
Sm1 Sm 0.000 0.178 0.166 1
Y1 Y 0.000 0.000 0.406 1
Y2 Y 0.000 0.500 0.500 1
Ga1 Ga 0.000 0.277 0.000 1
Ga2 Ga 0.000 0.500 0.224 1

[6]
# Tl3PPb (PBE, relaxed)
# Offset from the most stable computed form ... 449.4 meV/atom
# E_tot ... -12.10 eV per formula unit
# Fermi-level density of states ... 1.2062 states/eV per atom
# Total magnetic moment ... 1.17 μB/cell
# Formation energy ... 824 meV per atom
# V ... 42.5 A^3/atom
data_Tl3PPb
_chemical_formula_sum 'Tl3 P1 Pb1'
_cell_length_a 5.967
_cell_length_b 5.967
_cell_length_c 5.967
_cell_angle_alpha 90.00
_cell_angle_beta 90.00
_cell_angle_gamma 90.00
_symmetry_space_group_name_H-M 'P m -3 m'
_symmetry_Int_Tables_number 221
_symmetry_space_group_name_Hall '-P 4 2 3'
loop_
_atom_site_label
_atom_site_type_symbol
_atom_site_fract_x
_atom_site_fract_y
_atom_site_fract_z
_atom_site_occupancy
Tl1 Tl 0.000 0.000 0.500 1
P1 P 0.500 0.500 0.500 1
Pb1 Pb 0.000 0.000 0.000 1

[7]
# Na2PuO2F4 (PBE, relaxed)
# E_tot ... -58.97 eV per formula unit
# Fermi-level density of states ... 0.6983 states/eV per atom
# Total magnetic moment ... 4.00 μB/cell
# V ... 14.8 A^3/atom
# Energy relative to the elements, uncorrected ... -2.7336 eV/atom
data_Na2PuO2F4
_chemical_formula_sum 'Na4 Pu2 O4 F8'
_cell_length_a 10.364
_cell_length_b 6.248
_cell_length_c 4.296
_cell_angle_alpha 90.00
_cell_angle_beta 106.31
_cell_angle_gamma 90.00
_symmetry_space_group_name_H-M 'C 1 2/m 1'
_symmetry_Int_Tables_number 12
loop_
_symmetry_equiv_pos_as_xyz
'x,y,z'
'-x,-y,-z'
'-x,y,-z'
'x,-y,z'
'x+1/2,y+1/2,z'
'-x+1/2,-y+1/2,-z'
'-x+1/2,y+1/2,-z'
'x+1/2,-y+1/2,z'
loop_
_atom_site_label
_atom_site_type_symbol
_atom_site_fract_x
_atom_site_fract_y
_atom_site_fract_z
_atom_site_occupancy
Na1 Na 0.122 0.000 0.363 1
Pu1 Pu 0.000 0.500 0.000 1
O1 O 0.143 0.500 0.355 1
F1 F 0.088 0.218 0.826 1

[8]
# ZrMnAsBr2 (PBE, relaxed)
# Offset from the most stable computed form ... 267.7 meV/atom
# E_tot ... -24.50 eV per formula unit
# Fermi-level density of states ... 1.1300 states/eV per atom
# Total magnetic moment ... 5.72 μB/cell
# V ... 24.5 A^3/atom
# Energy relative to the elements, uncorrected ... 0.2433 eV/atom
data_ZrMnAsBr2
_chemical_formula_sum 'Zr1 Mn1 As1 Br2'
_cell_length_a 4.874
_cell_length_b 4.874
_cell_length_c 5.156
_cell_angle_alpha 90.00
_cell_angle_beta 90.00
_cell_angle_gamma 90.00
_symmetry_space_group_name_H-M 'P 4/m m m'
_symmetry_Int_Tables_number 123
_symmetry_space_group_name_Hall '-P 4 2'
loop_
_atom_site_label
_atom_site_type_symbol
_atom_site_fract_x
_atom_site_fract_y
_atom_site_fract_z
_atom_site_occupancy
Zr1 Zr 0.000 0.000 0.000 1
Mn1 Mn 0.500 0.500 0.500 1
As1 As 0.500 0.500 0.000 1
Br1 Br 0.000 0.500 0.500 1

[9]
# NaTmPbCl6 (PBE, relaxed)
# E_tot ... -36.83 eV per formula unit
# Fermi-level density of states ... 0.0000 states/eV per atom
# Total magnetic moment ... 0.00 μB/cell
# V ... 29.3 A^3/atom
# Energy relative to the elements, uncorrected ... -1.8052 eV/atom
data_NaTmPbCl6
_chemical_formula_sum 'Na2 Tm2 Pb2 Cl12'
_cell_length_a 6.9857
_cell_length_b 6.9857
_cell_length_c 12.4655
_cell_angle_alpha 90.00
_cell_angle_beta 90.00
_cell_angle_gamma 120.00
_symmetry_space_group_name_H-M 'P -3 1 c'
_symmetry_Int_Tables_number 163
_symmetry_space_group_name_Hall '-P 3 2c'
loop_
_atom_site_label
_atom_site_type_symbol
_atom_site_fract_x
_atom_site_fract_y
_atom_site_fract_z
_atom_site_occupancy
Na1 Na 0.3333 0.6667 0.2500 1
Tm1 Tm 0.3333 0.6667 0.7500 1
Pb1 Pb 0.0000 0.0000 0.0000 1
Cl1 Cl 0.0220 0.3603 0.6309 1

[10]
# PuIn2Au6 (PBE, relaxed)
# E_tot ... -41.43 eV per formula unit
# Fermi-level density of states ... 1.6921 states/eV per atom
# Total magnetic moment ... 11.07 μB/cell
# Formation energy ... -217 meV per atom
# V ... 20.6 A^3/atom
data_PuIn2Au6
_chemical_formula_sum 'Pu2 In4 Au12'
_cell_length_a 5.453
_cell_length_b 14.956
_cell_length_c 5.225
_cell_angle_alpha 90.00
_cell_angle_beta 119.49
_cell_angle_gamma 90.00
_symmetry_space_group_name_H-M 'C 1 2/m 1'
_symmetry_Int_Tables_number 12
loop_
_symmetry_equiv_pos_as_xyz
'x,y,z'
'-x,-y,-z'
'-x,y,-z'
'x,-y,z'
'x+1/2,y+1/2,z'
'-x+1/2,-y+1/2,-z'
'-x+1/2,y+1/2,-z'
'x+1/2,-y+1/2,z'
loop_
_atom_site_label
_atom_site_type_symbol
_atom_site_fract_x
_atom_site_fract_y
_atom_site_fract_z
_atom_site_occupancy
Pu1 Pu 0.000 0.000 0.000 1
In1 In 0.000 0.159 0.500 1
Au1 Au 0.146 0.328 0.823 1
Au2 Au 0.152 0.500 0.324 1

[11]
# CeHo2Sc6 (PBE, relaxed)
# E_tot ... -47.28 eV per formula unit
# Fermi-level density of states ... 1.7194 states/eV per atom
# Total magnetic moment ... 0.00 μB/cell
# Formation energy ... 645 meV per atom
# V ... 28.9 A^3/atom
data_CeHo2Sc6
_chemical_formula_sum 'Ce2 Ho4 Sc12'
_cell_length_a 5.027
_cell_length_b 5.027
_cell_length_c 20.609
_cell_angle_alpha 90.00
_cell_angle_beta 90.00
_cell_angle_gamma 90.00
_symmetry_space_group_name_H-M 'P 42/m n m'
_symmetry_Int_Tables_number 136
_symmetry_space_group_name_Hall '-P 4n 2n'
loop_
_atom_site_label
_atom_site_type_symbol
_atom_site_fract_x
_atom_site_fract_y
_atom_site_fract_z
_atom_site_occupancy
Ce1 Ce 0.000 0.000 0.000 1
Ho1 Ho 0.000 0.000 0.241 1
Sc1 Sc 0.171 0.171 0.500 1
Sc2 Sc 0.234 0.766 0.384 1